K3HoCr2O8 | PBE with a Hubbard U | optimized geometry

Properties
E: -6.430 eV per atom
space-group type: P-3m1, No. 164

a = 5.953 Å, b = 5.953 Å, c = 7.658 Å
α = 90.00°, β = 90.00°, γ = 120.00°
Positions (direct):
K: 0.000 0.000 0.000
K: 0.333 0.667 0.685
K: 0.667 0.333 0.315
Ho: 0.000 0.000 0.500
Cr: 0.333 0.667 0.242
Cr: 0.667 0.333 0.758
O: 0.175 0.350 0.327
O: 0.175 0.825 0.327
O: 0.333 0.667 0.025
O: 0.350 0.175 0.673
O: 0.650 0.825 0.327
O: 0.667 0.333 0.975
O: 0.825 0.175 0.673
O: 0.825 0.650 0.673